[1]
Computed, not measured: an optimized crystal structure of ZrZnSi2 at the GGA-PBE level of DFT.

a = 6.5441 Å, b = 4.8807 Å, c = 2.9361 Å
α = 90.06°, β = 63.24°, γ = 122.34°
Last column: nearest neighbours and their distance in Å.
Element x y z (fractional)
Si  0.0000  0.0000  0.0000  4 Zn 2.85, 4 Zr 2.85, 4 Si 2.92-2.94
Si  0.5000  0.0000  0.5000  4 Zr 2.85, 4 Zn 2.85, 4 Si 2.92-2.94
Zr  0.5000  0.5000  0.0000  8 Si 2.85, 2 Zn 2.92, 2 Zr 2.94
Zn  0.0000  0.5000  0.5000  8 Si 2.85, 2 Zr 2.92, 2 Zn 2.94

Output
calculated total energy	-21.21	eV per cell
SG	Cmmm (65)
N(E_F)	1.83	states/eV per cell
total magnetization	0.00	μB per formula unit
formation energy (no corrections)	-135	meV/atom

***

[2]
Computed, not measured: an optimized crystal structure of ZrZn2Si at the GGA-PBE level of DFT.

a = 4.4052 Å, b = 2.9927 Å, c = 5.1033 Å
α = 89.99°, β = 90.00°, γ = 90.00°
Last column: nearest neighbours and their distance in Å.
Element x y z (fractional)
Zn  0.0000  0.7495  0.4947  2 Zn 2.50-2.61, 2 Si 2.56
Zn  0.0000  0.7505  0.0053  2 Zn 2.50-2.61, 2 Si 2.56
Zr  0.5000  0.2500  0.2500  8 Zn 2.94, 4 Si 2.96, 2 Zr 2.99
Si  0.5000  0.7500  0.7500  4 Zn 2.56

Output
calculated total energy	-17.32	eV per cell
SG	Pmmm (47)
N(E_F)	2.26	states/eV per cell
total magnetization	0.00	μB per formula unit
formation energy (no corrections)	-199	meV/atom

***

[3]
Computed, not measured: an optimized crystal structure of ZrZn2Si at the GGA-PBE level of DFT.

a = 4.9028 Å, b = 4.9028 Å, c = 3.1479 Å
α = 90.00°, β = 90.00°, γ = 112.87°
Last column: nearest neighbours and their distance in Å.
Element x y z (fractional)
Si  0.0000  0.5000  0.5000  2 Zr 2.71, 8 Zn 2.91
Zn  0.5000  0.5000  0.0000  2 Zn 2.71, 4 Zr 2.91, 4 Si 2.91
Zn  0.0000  0.0000  0.0000  2 Zn 2.71, 4 Si 2.91, 4 Zr 2.91
Zr  0.5000  0.0000  0.5000  2 Si 2.71, 8 Zn 2.91

Output
calculated total energy	-16.88	eV per cell
SG	Cmmm (65)
N(E_F)	1.77	states/eV per cell
total magnetization	0.00	μB per formula unit
formation energy (no corrections)	-90	meV/atom

***

[4]
Computed, not measured: an optimized crystal structure of ZrZn2Si at the GGA-PBE level of DFT.

a = 5.2230 Å, b = 5.2230 Å, c = 5.2230 Å
α = 136.89°, β = 135.52°, γ = 63.67°
Last column: nearest neighbours and their distance in Å.
Element x y z (fractional)
Si  0.2418  0.7418  0.5000  6 Zn 2.64-2.75, 2 Zr 2.86
Zr  0.4807  0.4807  0.0000  8 Zn 2.80-3.00, 4 Si 2.86-3.05
Zn  0.7401  0.2401  0.5000  2 Zn 2.67, 4 Si 2.75, 2 Zr 2.91
Zn  0.0374  0.0374  0.0000  2 Si 2.64, 2 Zn 2.67, 4 Zr 2.80

Output
calculated total energy	-17.29	eV per cell
SG	Imm2 (44)
N(E_F)	3.06	states/eV per cell
total magnetization	0.00	μB per formula unit
formation energy (no corrections)	-192	meV/atom

***

[5]
Computed, not measured: an optimized crystal structure of ZrZnSi2 at the GGA-PBE level of DFT.

a = 7.0199 Å, b = 7.0199 Å, c = 5.7184 Å
α = 52.14°, β = 52.14°, γ = 90.00°
Last column: nearest neighbours and their distance in Å.
Element x y z (fractional)
Si  0.8750  0.8388  0.7500  2 Zn 2.42
Si  0.5888  0.1250  0.2500  2 Zn 2.42
Si  0.3750  0.4112  0.7500  2 Zn 2.42
Si  0.1612  0.6250  0.2500  2 Zn 2.42
Zn  0.2500  0.7500  0.5000  4 Si 2.42
Zn  0.5000  0.5000  0.0000  4 Si 2.42
Zr  0.7500  0.2500  0.5000  4 Si 2.76, 2 Zn 2.84
Zr  0.0000  0.0000  0.0000  4 Si 2.76, 2 Zn 2.84

Output
calculated total energy	-41.44	eV per cell
SG	I-42d (122)
N(E_F)	1.27	states/eV per cell
total magnetization	0.00	μB per formula unit
formation energy (no corrections)	-13	meV/atom

***

[6]
Computed, not measured: an optimized crystal structure of ZrZnSi2 at the GGA-PBE level of DFT.

a = 4.5796 Å, b = 2.8643 Å, c = 4.9806 Å
α = 89.99°, β = 90.00°, γ = 90.00°
Last column: nearest neighbours and their distance in Å.
Element x y z (fractional)
Si  0.5000  0.2499  0.2569  2 Zn 2.58, 4 Si 2.66-2.86, 2 Zr 2.85
Si  0.0000  0.2503  0.9864  2 Zn 2.45-2.53, 2 Si 2.66
Zn  0.0000  0.2499  0.4935  4 Si 2.45-2.58
Zr  0.5000  0.7499  0.7632  8 Si 2.85-2.92, 2 Zr 2.86, 4 Zn 3.02

Output
calculated total energy	-21.63	eV per cell
SG	Pmm2 (25)
N(E_F)	1.31	states/eV per cell
total magnetization	0.00	μB per formula unit
formation energy (no corrections)	-240	meV/atom

***

[7]
Computed, not measured: an optimized crystal structure of ZrZn2Si at the GGA-PBE level of DFT.

a = 7.3149 Å, b = 7.3149 Å, c = 5.8182 Å
α = 51.05°, β = 51.05°, γ = 90.00°
Last column: nearest neighbours and their distance in Å.
Element x y z (fractional)
Zr  0.7500  0.2500  0.5000  2 Si 2.66, 4 Zn 2.89
Zr  0.0000  0.0000  0.0000  2 Si 2.66, 4 Zn 2.89
Si  0.5000  0.5000  0.0000  4 Zn 2.47, 2 Zr 2.66
Si  0.2500  0.7500  0.5000  4 Zn 2.47, 2 Zr 2.66
Zn  0.8750  0.8337  0.7500  2 Si 2.47, 2 Zn 2.73
Zn  0.3750  0.4163  0.7500  2 Si 2.47, 2 Zn 2.73
Zn  0.5837  0.1250  0.2500  2 Si 2.47, 2 Zn 2.73
Zn  0.1663  0.6250  0.2500  2 Si 2.47, 2 Zn 2.73

Output
calculated total energy	-33.70	eV per cell
SG	I-42d (122)
N(E_F)	2.03	states/eV per cell
total magnetization	0.00	μB per formula unit
formation energy (no corrections)	-82	meV/atom

***

[8]
Computed, not measured: an optimized crystal structure of ZrZn2Si at the GGA-PBE level of DFT.

a = 3.2941 Å, b = 3.2941 Å, c = 6.2733 Å
α = 90.00°, β = 90.00°, γ = 98.16°
Last column: nearest neighbours and their distance in Å.
Element x y z (fractional)
Zn  0.0000  0.0000  0.9999  4 Zn 2.53-2.82, 2 Si 2.57
Zn  0.5000  0.5000  0.2116  4 Zn 2.53-2.82, 1 Si 2.72
Zr  0.0000  0.0000  0.5099  4 Si 2.74-3.01, 2 Zn 2.86
Si  0.5000  0.5000  0.7786  5 Zn 2.57-2.85, 2 Zr 2.74

Output
calculated total energy	-17.11	eV per cell
SG	Cmm2 (35)
N(E_F)	1.63	states/eV per cell
total magnetization	0.00	μB per formula unit
formation energy (no corrections)	-147	meV/atom

***

[9]
Computed, not measured: an optimized crystal structure of ZrZn2Si2 at the GGA-PBE level of DFT.

a = 7.0629 Å, b = 7.0629 Å, c = 3.3304 Å
α = 90.00°, β = 90.00°, γ = 90.00°
Last column: nearest neighbours and their distance in Å.
Element x y z (fractional)
Zn  0.8350  0.3350  0.5000  6 Si 2.65-2.67
Zn  0.3350  0.1650  0.5000  6 Si 2.65-2.67
Zn  0.1650  0.6650  0.5000  6 Si 2.65-2.67
Zn  0.6650  0.8350  0.5000  6 Si 2.65-2.67
Zr  0.0000  0.0000  0.0000  4 Si 2.77
Zr  0.5000  0.5000  0.0000  4 Si 2.77
Si  0.3710  0.8710  0.0000  1 Si 2.58, 6 Zn 2.65-2.67, 2 Zr 2.77
Si  0.1290  0.3710  0.0000  1 Si 2.58, 6 Zn 2.65-2.67, 2 Zr 2.77
Si  0.8710  0.6290  0.0000  1 Si 2.58, 6 Zn 2.65-2.67, 2 Zr 2.77
Si  0.6290  0.1290  0.0000  1 Si 2.58, 6 Zn 2.65-2.67, 2 Zr 2.77

Output
calculated total energy	-44.27	eV per cell
SG	P4/mbm (127)
N(E_F)	4.82	states/eV per cell
total magnetization	0.00	μB per formula unit
formation energy (no corrections)	-39	meV/atom

***

[10]
Computed, not measured: an optimized crystal structure of ZrZn2Si at the GGA-PBE level of DFT.

a = 4.1780 Å, b = 3.9288 Å, c = 3.9288 Å
α = 90.00°, β = 90.00°, γ = 90.00°
Last column: nearest neighbours and their distance in Å.
Element x y z (fractional)
Zn  0.0000  0.0000  0.0000  4 Zn 2.78, 4 Zr 2.87, 4 Si 2.87
Zn  0.0000  0.5000  0.5000  4 Zn 2.78, 4 Zr 2.87, 4 Si 2.87
Si  0.5000  0.0000  0.5000  4 Zr 2.78, 8 Zn 2.87
Zr  0.5000  0.5000  0.0000  4 Si 2.78, 8 Zn 2.87

Output
calculated total energy	-18.07	eV per cell
SG	P4/mmm (123)
N(E_F)	0.71	states/eV per cell
total magnetization	0.00	μB per formula unit
formation energy (no corrections)	-388	meV/atom

***

[11]
Computed, not measured: an optimized crystal structure of ZrZnSi2 at the GGA-PBE level of DFT.

a = 8.5932 Å, b = 8.5932 Å, c = 8.5932 Å
α = 20.67°, β = 20.67°, γ = 20.67°
Last column: nearest neighbours and their distance in Å.
Element x y z (fractional)
Si  0.9952  0.9952  0.9952  3 Zn 2.66, 3 Zr 2.85
Si  0.5048  0.5048  0.5048  3 Zn 2.66, 3 Zr 2.85
Zr  0.7500  0.7500  0.7500  6 Si 2.85, 6 Zr 3.08
Zn  0.2500  0.2500  0.2500  6 Si 2.66

Output
calculated total energy	-20.62	eV per cell
SG	R-3m (166)
N(E_F)	1.55	states/eV per cell
total magnetization	0.00	μB per formula unit
formation energy (no corrections)	11	meV/atom

***

[12]
Computed, not measured: an optimized crystal structure of ZrZn2Si at the GGA-PBE level of DFT.

a = 4.5693 Å, b = 4.5693 Å, c = 4.5693 Å
α = 60.00°, β = 60.00°, γ = 60.00°
Last column: nearest neighbours and their distance in Å.
Element x y z (fractional)
Si  0.5000  0.5000  0.5000  4 Zr 2.80, 4 Zn 2.80
Zn  0.0000  0.0000  0.0000  4 Zn 2.80, 4 Zr 2.80
Zn  0.2500  0.2500  0.2500  4 Si 2.80, 4 Zn 2.80
Zr  0.7500  0.7500  0.7500  4 Si 2.80, 4 Zn 2.80

Output
calculated total energy	-16.39	eV per cell
SG	F-43m (216)
N(E_F)	3.61	states/eV per cell
total magnetization	0.00	μB per formula unit
formation energy (no corrections)	33	meV/atom

***

[13]
Computed, not measured: an optimized crystal structure of ZrZn2Si at the GGA-PBE level of DFT.

a = 9.3344 Å, b = 9.3344 Å, c = 9.3344 Å
α = 18.29°, β = 18.29°, γ = 18.29°
Last column: nearest neighbours and their distance in Å.
Element x y z (fractional)
Zr  0.2500  0.2500  0.2500  6 Zr 2.97, 6 Zn 2.99
Si  0.7500  0.7500  0.7500  6 Zn 2.74, 6 Si 2.97
Zn  0.0056  0.0056  0.0056  3 Si 2.74, 6 Zn 2.97, 3 Zr 2.99
Zn  0.4944  0.4944  0.4944  3 Si 2.74, 6 Zn 2.97, 3 Zr 2.99

Output
calculated total energy	-15.88	eV per cell
SG	R-3m (166)
N(E_F)	4.31	states/eV per cell
total magnetization	0.00	μB per formula unit
formation energy (no corrections)	161	meV/atom

***

[14]
Computed, not measured: an optimized crystal structure of ZrZnSi2 at the GGA-PBE level of DFT.

a = 8.6061 Å, b = 8.6061 Å, c = 8.6061 Å
α = 20.60°, β = 20.60°, γ = 20.60°
Last column: nearest neighbours and their distance in Å.
Element x y z (fractional)
Si  0.2522  0.2522  0.2522  3 Si 2.56, 3 Zn 2.64
Si  0.9916  0.9916  0.9916  3 Si 2.56
Zn  0.5083  0.5083  0.5083  3 Si 2.64
Zr  0.7479  0.7479  0.7479  3 Si 2.88, 3 Zn 2.96, 6 Zr 3.08

Output
calculated total energy	-20.43	eV per cell
SG	R3m (160)
N(E_F)	2.38	states/eV per cell
total magnetization	0.00	μB per formula unit
formation energy (no corrections)	59	meV/atom

***

[15]
Computed, not measured: an optimized crystal structure of Zr4ZnSi at the GGA-PBE level of DFT.

a = 5.6689 Å, b = 5.6689 Å, c = 5.6689 Å
α = 60.00°, β = 60.00°, γ = 60.00°
Last column: nearest neighbours and their distance in Å.
Element x y z (fractional)
Zr  0.8749  0.3750  0.3750  6 Zr 2.83-2.84
Zr  0.3750  0.3750  0.3750  6 Zr 2.83-2.84
Zr  0.3750  0.8749  0.3750  6 Zr 2.83-2.84
Zr  0.3750  0.3750  0.8749  6 Zr 2.83-2.84
Zn  0.0000  0.0000  0.0000  12 Zr 3.32, 4 Si 3.47
Si  0.7500  0.7500  0.7500  12 Zr 3.32, 4 Zn 3.47

Output
calculated total energy	-38.34	eV per cell
SG	F-43m (216)
N(E_F)	7.03	states/eV per cell
total magnetization	0.00	μB per formula unit
energy relative to the lowest polymorph listed for this composition	882.6	meV/atom
formation energy (no corrections)	424	meV/atom

***

[16]
Computed, not measured: an optimized crystal structure of ZrZn2Si at the GGA-PBE level of DFT.

a = 5.2326 Å, b = 5.2326 Å, c = 5.2733 Å
α = 65.45°, β = 65.45°, γ = 31.76°
Last column: nearest neighbours and their distance in Å.
Element x y z (fractional)
Zr  0.5101  0.5101  0.4065  3 Si 2.69-2.78, 2 Zr 2.86, 5 Zn 2.95-3.00
Zn  0.9885  0.9885  0.9229  5 Zn 2.74-2.86, 2 Si 2.82, 4 Zr 3.00-3.01
Zn  0.7430  0.7430  0.8243  5 Zn 2.74-2.86, 2 Si 2.84, 3 Zr 2.95-3.00
Si  0.2583  0.2583  0.3464  3 Zr 2.69-2.78, 4 Zn 2.82-2.84, 2 Si 2.86

Output
calculated total energy	-17.08	eV per cell
SG	Cm (8)
N(E_F)	1.60	states/eV per cell
total magnetization	0.00	μB per formula unit
formation energy (no corrections)	-140	meV/atom

***

[17]
Computed, not measured: an optimized crystal structure of ZrZn2Si at the GGA-PBE level of DFT.

a = 5.4574 Å, b = 5.4574 Å, c = 5.4574 Å
α = 139.55°, β = 139.55°, γ = 58.54°
Last column: nearest neighbours and their distance in Å.
Element x y z (fractional)
Zr  0.2500  0.7500  0.5000  4 Si 2.67
Si  0.7500  0.2500  0.5000  4 Zr 2.67
Zn  0.0000  0.0000  0.0000  4 Zn 2.67
Zn  0.5000  0.5000  0.0000  4 Zn 2.67

Output
calculated total energy	-17.72	eV per cell
SG	I4/mmm (139)
N(E_F)	1.77	states/eV per cell
total magnetization	0.00	μB per formula unit
formation energy (no corrections)	-300	meV/atom

***

[18]
Computed, not measured: an optimized crystal structure of ZrZnSi2 at the GGA-PBE level of DFT.

a = 4.0643 Å, b = 4.1983 Å, c = 3.7915 Å
α = 90.00°, β = 90.00°, γ = 90.00°
Last column: nearest neighbours and their distance in Å.
Element x y z (fractional)
Zn  0.5000  0.0000  0.5000  8 Si 2.78-2.83, 4 Zr 2.92
Si  0.5000  0.5000  0.0000  4 Zr 2.78, 4 Zn 2.83, 4 Si 2.92
Si  0.0000  0.0000  0.0000  4 Zn 2.78, 4 Zr 2.83, 4 Si 2.92
Zr  0.0000  0.5000  0.5000  8 Si 2.78-2.83, 4 Zn 2.92

Output
calculated total energy	-21.72	eV per cell
SG	Pmmm (47)
N(E_F)	1.54	states/eV per cell
total magnetization	0.00	μB per formula unit
formation energy (no corrections)	-262	meV/atom

***

[19]
Computed, not measured: an optimized crystal structure of Zr2ZnSi2 at the GGA-PBE level of DFT.

a = 6.6591 Å, b = 6.6591 Å, c = 3.9057 Å
α = 90.00°, β = 90.00°, γ = 90.00°
Last column: nearest neighbours and their distance in Å.
Element x y z (fractional)
Si  0.6249  0.1249  0.0000  1 Si 2.35, 2 Zn 2.63
Si  0.3751  0.8751  0.0000  1 Si 2.35, 2 Zn 2.63
Si  0.1249  0.3751  0.0000  1 Si 2.35, 2 Zn 2.63
Si  0.8751  0.6249  0.0000  1 Si 2.35, 2 Zn 2.63
Zr  0.3220  0.1780  0.5000  6 Si 2.69-2.83
Zr  0.6780  0.8220  0.5000  6 Si 2.69-2.83
Zr  0.8220  0.3220  0.5000  6 Si 2.69-2.83
Zr  0.1780  0.6780  0.5000  6 Si 2.69-2.83
Zn  0.5000  0.5000  0.0000  4 Si 2.63
Zn  0.0000  0.0000  0.0000  4 Si 2.63

Output
calculated total energy	-64.62	eV per cell
SG	P4/mbm (127)
N(E_F)	6.47	states/eV per cell
total magnetization	0.00	μB per formula unit
formation energy (no corrections)	-618	meV/atom

***

[20]
Computed, not measured: an optimized crystal structure of ZrZn3Si at the GGA-PBE level of DFT.

a = 5.1682 Å, b = 5.1682 Å, c = 5.1682 Å
α = 90.00°, β = 90.00°, γ = 90.00°
Last column: nearest neighbours and their distance in Å.
Element x y z (fractional)
Si  0.5000  0.5000  0.5000  12 Zn 3.65
Zr  0.0000  0.0000  0.0000  6 Zn 2.58
Zn  0.0000  0.0000  0.5000  2 Zr 2.58
Zn  0.0000  0.5000  0.0000  2 Zr 2.58
Zn  0.5000  0.0000  0.0000  2 Zr 2.58

Output
calculated total energy	-11.46	eV per cell
SG	Pm-3m (221)
N(E_F)	5.42	states/eV per cell
total magnetization	0.11	μB per formula unit
energy relative to the lowest polymorph listed for this composition	782.9	meV/atom
formation energy (no corrections)	1266	meV/atom